# 1
Entry from the Alexandria database: an optimized crystal structure of MgZr3Mn (PBE).

Cell: 4.879 4.879 4.879 Å, 90.00 90.00 90.00°
Positions (direct):
Mg (0.000, 0.000, 0.000)
Zr (0.000, 0.500, 0.500)
Zr (0.500, 0.000, 0.500)
Zr (0.500, 0.500, 0.000)
Mn (0.500, 0.500, 0.500)

ΔE_f ... 0.311 eV per atom
Density of states at the Fermi level ... 11.71 states/eV per cell
Density ... 5.04 g/cm3
Space-group type ... No. 221

=====

# 2
Entry from the Alexandria database: an optimized crystal structure of CoRe2Pb (PBE).

Cell: 8.813 3.089 4.990 Å, 90.00 101.78 90.00°
Positions (direct):
Co (0.000, 0.000, 0.000)
Co (0.500, 0.500, 0.000)
Re (0.237, 0.500, 0.248)
Re (0.471, 0.000, 0.398)
Re (0.737, 0.000, 0.248)
Re (0.971, 0.500, 0.398)
Pb (0.241, 0.000, 0.751)
Pb (0.741, 0.500, 0.751)

ΔE_f ... 0.727 eV per atom
Density of states at the Fermi level ... 8.79 states/eV per cell
Density ... 15.94 g/cm3
Space-group type ... No. 8

=====

# 3
Entry from the Alexandria database: an optimized crystal structure of SbTeAs2 (PBE).

Cell: 3.684 5.145 9.953 Å, 90.00 90.00 90.00°
Positions (direct):
Sb (0.000, 0.000, 0.000)
Sb (0.500, 0.500, 0.500)
Te (0.000, 0.000, 0.500)
Te (0.500, 0.500, 0.000)
As (0.000, 0.500, 0.261)
As (0.000, 0.500, 0.739)
As (0.500, 0.000, 0.239)
As (0.500, 0.000, 0.761)

Density of states at the Fermi level ... 5.12 states/eV per cell
Density ... 7.03 g/cm3
Space-group type ... No. 71
Energy relative to the elements, uncorrected ... 0.402 eV/atom

=====

# 4
Entry from the Alexandria database: an optimized crystal structure of KMg2ScCl8 (PBE).

Cell: 6.354 6.356 8.705 Å, 79.33 79.22 78.41°
Positions (direct):
K (0.000, 0.000, 0.000)
Mg (0.449, 0.450, 0.218)
Mg (0.551, 0.550, 0.782)
Sc (0.000, 0.000, 0.500)
Cl (0.201, 0.760, 0.712)
Cl (0.244, 0.803, 0.287)
Cl (0.255, 0.260, 0.460)
Cl (0.329, 0.334, 0.007)
Cl (0.671, 0.666, 0.993)
Cl (0.745, 0.740, 0.540)
Cl (0.756, 0.197, 0.713)
Cl (0.799, 0.240, 0.288)

Density of states at the Fermi level ... 0.00 states/eV per cell
Density ... 2.07 g/cm3
Space-group type ... No. 2
Energy relative to the elements, uncorrected ... -1.903 eV/atom